ZnIrPdF2 after structural relaxation, computed with PBEsol. Values from VASP.

## Properties
The calculation puts the volume at 15.57 Å³ per atom. Its total magnetization is 2.09 μB/f.u. Its total energy is -22.27 eV per cell. The value obtained for the uncorrected formation energy is -0.2112 eV/atom.

Structure (Quantum ESPRESSO input):
```
&SYSTEM
  ibrav = 0, nat = 5, ntyp = 4
/
ATOMIC_SPECIES
Zn 65.41 Zn.upf
F 19.00 F.upf
Ir 192.22 Ir.upf
Pd 106.42 Pd.upf
CELL_PARAMETERS angstrom
3.715 0.000 0.000
0.000 3.715 0.000
0.000 0.000 5.642
ATOMIC_POSITIONS angstrom
Zn 0.000 0.000 0.000
F 0.000 1.858 0.000
F 1.858 0.000 0.000
Ir 1.858 1.858 2.821
Pd 0.000 0.000 2.821
```

=====

Rb2IrF6 after structural relaxation, computed with PBEsol. Values from VASP.

## Properties
The calculation puts the volume at 16.10 Å³ per atom. Its total magnetization is 1.02 μB/f.u. Its total energy is -43.08 eV per cell. The value obtained for the uncorrected formation energy is -2.1822 eV/atom.

Structure (Quantum ESPRESSO input):
```
&SYSTEM
  ibrav = 0, nat = 9, ntyp = 3
/
ATOMIC_SPECIES
Ir 192.22 Ir.upf
Rb 85.47 Rb.upf
F 19.00 F.upf
CELL_PARAMETERS angstrom
-3.080 0.546 -3.592
3.253 -3.654 -3.345
-4.345 -2.171 3.396
ATOMIC_POSITIONS angstrom
Ir -1.540 0.273 -1.796
Rb 0.067 -3.044 -1.860
Rb -4.239 -2.236 -1.681
F -2.451 -4.153 -3.097
F -3.984 -2.257 1.325
F -0.188 -3.023 -4.866
F -1.882 -1.119 -3.124
F -1.721 -1.126 -0.444
F -2.289 -4.160 -0.417
```

=====

RbSn2IrF after structural relaxation, computed with PBEsol. Values from VASP.

## Properties
The calculation puts the volume at 45.50 Å³ per atom. Its total magnetization is 0.07 μB/f.u. Its total energy is -22.81 eV per cell. The value obtained for the uncorrected formation energy is -0.3021 eV/atom.

Structure (Quantum ESPRESSO input):
```
&SYSTEM
  ibrav = 0, nat = 5, ntyp = 4
/
ATOMIC_SPECIES
Rb 85.47 Rb.upf
Sn 118.71 Sn.upf
F 19.00 F.upf
Ir 192.22 Ir.upf
CELL_PARAMETERS angstrom
-0.972 -1.096 -4.669
4.393 -2.115 -0.417
-3.737 -8.299 2.727
ATOMIC_POSITIONS angstrom
Rb -0.158 -5.755 -1.180
Sn -0.486 -0.548 -2.334
Sn 2.196 -1.057 -0.209
F -1.868 -4.150 1.363
Ir 0.000 0.000 0.000
```

=====

Rb2TlIrF6 after structural relaxation, computed with PBEsol. Values from VASP.

## Properties
The calculation puts the volume at 18.90 Å³ per atom. Its total magnetization is 0.19 μB/f.u. Its total energy is -46.20 eV per cell. The value obtained for the uncorrected formation energy is -2.0128 eV/atom.

Structure (Quantum ESPRESSO input):
```
&SYSTEM
  ibrav = 0, nat = 10, ntyp = 4
/
ATOMIC_SPECIES
Rb 85.47 Rb.upf
F 19.00 F.upf
Tl 204.38 Tl.upf
Ir 192.22 Ir.upf
CELL_PARAMETERS angstrom
-4.943 -2.982 2.857
0.924 -3.214 5.505
-2.398 2.304 5.516
ATOMIC_POSITIONS angstrom
Rb -1.604 -0.973 3.470
Rb -4.813 -2.919 10.409
F -3.661 -4.317 7.733
F -2.241 -1.367 9.217
F -4.176 -2.524 4.662
F -5.515 -1.238 7.740
F -0.902 -2.653 6.139
F -2.757 0.426 6.145
Tl -3.209 -1.946 6.939
Ir 0.000 0.000 0.000
```

=====

Ir3RuF after structural relaxation, computed with PBEsol. Values from VASP.

## Properties
The calculation puts the volume at 14.17 Å³ per atom. Its total magnetization is 0.00 μB/f.u. Its total energy is -34.00 eV per cell. The value obtained for the uncorrected formation energy is 1.5135 eV/atom.

Structure (Quantum ESPRESSO input):
```
&SYSTEM
  ibrav = 0, nat = 5, ntyp = 3
/
ATOMIC_SPECIES
F 19.00 F.upf
Ir 192.22 Ir.upf
Ru 101.07 Ru.upf
CELL_PARAMETERS angstrom
4.138 0.000 0.000
0.000 4.138 0.000
0.000 0.000 4.138
ATOMIC_POSITIONS angstrom
F 0.000 0.000 0.000
Ir 2.069 0.000 0.000
Ir 0.000 2.069 0.000
Ir 0.000 0.000 2.069
Ru 2.069 2.069 2.069
```

=====

Sb3IrF after structural relaxation, computed with PBEsol. Values from VASP.

## Properties
The calculation puts the volume at 20.50 Å³ per atom. Its total magnetization is 0.00 μB/f.u. Its total energy is -23.72 eV per cell. The value obtained for the uncorrected formation energy is 0.3413 eV/atom.

Structure (Quantum ESPRESSO input):
```
&SYSTEM
  ibrav = 0, nat = 5, ntyp = 3
/
ATOMIC_SPECIES
Ir 192.22 Ir.upf
Sb 121.76 Sb.upf
F 19.00 F.upf
CELL_PARAMETERS angstrom
-4.579 0.766 -0.588
-0.793 -1.362 4.406
0.550 4.411 1.462
ATOMIC_POSITIONS angstrom
Ir -2.411 1.908 2.640
Sb 0.275 2.206 0.731
Sb -0.397 -0.681 2.203
Sb -2.289 0.383 -0.294
F 0.000 0.000 0.000
```

=====

ScZnIr2F after structural relaxation, computed with PBEsol. Values from VASP.

## Properties
The calculation puts the volume at 22.32 Å³ per atom. Its total magnetization is 1.36 μB/f.u. Its total energy is -22.70 eV per cell. The value obtained for the uncorrected formation energy is 1.4132 eV/atom.

Structure (Quantum ESPRESSO input):
```
&SYSTEM
  ibrav = 0, nat = 5, ntyp = 4
/
ATOMIC_SPECIES
Ir 192.22 Ir.upf
F 19.00 F.upf
Zn 65.41 Zn.upf
Sc 44.96 Sc.upf
CELL_PARAMETERS angstrom
-0.269 -4.344 -1.588
2.231 -1.516 3.767
-4.547 -0.613 2.446
ATOMIC_POSITIONS angstrom
Ir 1.115 -0.758 1.884
Ir -0.134 -2.172 -0.794
F -1.293 -3.236 2.312
Zn -2.273 -0.306 1.223
Sc 0.000 0.000 0.000
```

=====

Ir3SeF after structural relaxation, computed with PBEsol. Values from VASP.

## Properties
The calculation puts the volume at 18.64 Å³ per atom. Its total magnetization is 1.19 μB/f.u. Its total energy is -27.31 eV per cell. The value obtained for the uncorrected formation energy is 1.5866 eV/atom.

Structure (Quantum ESPRESSO input):
```
&SYSTEM
  ibrav = 0, nat = 5, ntyp = 3
/
ATOMIC_SPECIES
F 19.00 F.upf
Ir 192.22 Ir.upf
Se 78.96 Se.upf
CELL_PARAMETERS angstrom
-0.689 -0.749 -4.418
3.965 -2.185 -0.248
-2.089 -3.901 0.987
ATOMIC_POSITIONS angstrom
F 0.593 -3.418 -1.839
Ir -0.345 -0.375 -2.209
Ir -1.044 -1.951 0.494
Ir 1.982 -1.093 -0.124
Se 0.000 0.000 0.000
```

=====

Ir2SeF after structural relaxation, computed with PBEsol. Values from VASP.

## Properties
The calculation puts the volume at 14.35 Å³ per atom. Its total magnetization is 0.00 μB/f.u. Its total energy is -48.06 eV per cell. The value obtained for the uncorrected formation energy is 0.3481 eV/atom.

Structure (Quantum ESPRESSO input):
```
&SYSTEM
  ibrav = 0, nat = 8, ntyp = 3
/
ATOMIC_SPECIES
F 19.00 F.upf
Ir 192.22 Ir.upf
Se 78.96 Se.upf
CELL_PARAMETERS angstrom
5.315 -0.006 0.000
-2.246 4.818 0.000
-1.535 -2.406 4.484
ATOMIC_POSITIONS angstrom
F 2.658 -0.003 2.242
F 1.535 2.406 0.000
Ir 0.030 4.212 0.003
Ir 1.153 1.803 2.239
Ir -0.386 -0.600 2.245
Ir 2.272 -0.603 4.482
Se 0.000 0.000 0.000
Se -1.123 2.409 2.242
```

=====

TaTcIr2F after structural relaxation, computed with PBEsol. Values from VASP.

## Properties
The calculation puts the volume at 21.65 Å³ per atom. Its total magnetization is 3.68 μB/f.u. Its total energy is -35.82 eV per cell. The value obtained for the uncorrected formation energy is 1.9135 eV/atom.

Structure (Quantum ESPRESSO input):
```
&SYSTEM
  ibrav = 0, nat = 5, ntyp = 4
/
ATOMIC_SPECIES
Tc 98.00 Tc.upf
Ir 192.22 Ir.upf
Ta 180.95 Ta.upf
F 19.00 F.upf
CELL_PARAMETERS angstrom
4.705 0.000 0.000
0.000 4.705 0.000
0.000 0.000 4.891
ATOMIC_POSITIONS angstrom
Tc 0.000 0.000 2.446
Ir 2.352 0.000 0.000
Ir 0.000 2.352 0.000
Ta 0.000 0.000 0.000
F 2.352 2.352 2.446
```

=====

TcIrF3 after structural relaxation, computed with PBEsol. Values from VASP.

## Properties
The calculation puts the volume at 14.81 Å³ per atom. Its total magnetization is 4.73 μB/f.u. Its total energy is -25.32 eV per cell. The value obtained for the uncorrected formation energy is 0.3111 eV/atom.

Structure (Quantum ESPRESSO input):
```
&SYSTEM
  ibrav = 0, nat = 5, ntyp = 3
/
ATOMIC_SPECIES
Tc 98.00 Tc.upf
Ir 192.22 Ir.upf
F 19.00 F.upf
CELL_PARAMETERS angstrom
4.200 0.000 0.000
0.000 4.200 0.000
0.000 0.000 4.200
ATOMIC_POSITIONS angstrom
Tc 2.100 2.100 2.100
Ir 0.000 0.000 0.000
F 2.100 0.000 0.000
F 0.000 0.000 2.100
F 0.000 2.100 0.000
```

=====

ZrTc2IrF after structural relaxation, computed with PBEsol. Values from VASP.

## Properties
The calculation puts the volume at 17.17 Å³ per atom. Its total magnetization is 0.02 μB/f.u. Its total energy is -38.74 eV per cell. The value obtained for the uncorrected formation energy is 0.9259 eV/atom.

Structure (Quantum ESPRESSO input):
```
&SYSTEM
  ibrav = 0, nat = 5, ntyp = 4
/
ATOMIC_SPECIES
Ir 192.22 Ir.upf
Zr 91.22 Zr.upf
Tc 98.00 Tc.upf
F 19.00 F.upf
CELL_PARAMETERS angstrom
3.857 0.000 0.000
0.000 4.718 0.000
0.000 0.000 4.718
ATOMIC_POSITIONS angstrom
Ir 1.929 2.359 2.359
Zr 0.000 0.000 0.000
Tc 0.000 0.000 2.359
Tc 0.000 2.359 0.000
F 1.929 0.000 0.000
```

=====

Te3IrF after structural relaxation, computed with PBEsol. Values from VASP.

## Properties
The calculation puts the volume at 27.56 Å³ per atom. Its total magnetization is 0.00 μB/f.u. Its total energy is -20.48 eV per cell. The value obtained for the uncorrected formation energy is 0.3691 eV/atom.

Structure (Quantum ESPRESSO input):
```
&SYSTEM
  ibrav = 0, nat = 5, ntyp = 3
/
ATOMIC_SPECIES
Te 127.60 Te.upf
F 19.00 F.upf
Ir 192.22 Ir.upf
CELL_PARAMETERS angstrom
5.165 0.000 0.000
0.000 5.165 0.000
0.000 0.000 5.165
ATOMIC_POSITIONS angstrom
Te 0.000 0.000 2.583
Te 2.583 0.000 0.000
Te 0.000 2.583 0.000
F 2.583 2.583 2.583
Ir 0.000 0.000 0.000
```